[1]
Below is crystalline CdSi2Ni at its relaxed geometry, with properties calculated at the GGA-PBE level.

Lattice parameters (Å, degrees): 3.8144 3.9511 4.0640 90.00 90.00 90.00
Fractional coordinates of all 4 atoms:
Cd  0.5000  0.0000  0.5000
Ni  0.0000  0.5000  0.5000
Si  0.5000  0.5000  0.0000
Si  0.0000  0.0000  0.0000

Summary:
- SG = Pmmm, No. 47
- volume (Å³ per atom) = 15.3
- raw formation energy (meV/atom) = 354

[2]
Below is crystalline AcBPt2 at its relaxed geometry, with properties calculated at the GGA-PBE level.

Lattice parameters (Å, degrees): 4.0467 4.0467 5.9865 70.25 70.25 60.00
Fractional coordinates of all 4 atoms:
B  0.5000  0.5000  0.5000
Ac  0.0000  0.0000  0.0000
Pt  0.7943  0.7943  0.6171
Pt  0.2057  0.2057  0.3829

Summary:
- energy of formation (meV per atom) = -436
- SG = R-3m, No. 166
- volume (Å³ per atom) = 19.5
- relative energy among the computed polymorphs (meV per atom) = 422

[3]
Below is crystalline Ho4Ag3Pt2 at its relaxed geometry, with properties calculated at the GGA-PBE level.

Lattice parameters (Å, degrees): 4.8445 4.8423 9.7973 89.97 90.00 59.98
Fractional coordinates of all 9 atoms:
Ho  0.6665  0.6670  0.8867
Ho  0.9998  0.0005  0.6719
Ho  0.3335  0.3330  0.1133
Ho  0.0002  0.9995  0.3281
Ag  0.6667  0.6665  0.4915
Ag  0.3333  0.3335  0.5085
Ag  0.0000  0.0000  0.0000
Pt  0.6670  0.6660  0.1855
Pt  0.3330  0.3340  0.8145

Summary:
- energy of formation (meV per atom) = -704
- SG = C2/m, No. 12
- volume (Å³ per atom) = 22.1

[4]
Below is crystalline CrNi2 at its relaxed geometry, with properties calculated at the GGA-PBE level.

Lattice parameters (Å, degrees): 2.4976 2.4976 6.1568 90.00 90.00 120.00
Last column: magnetic moment on the atom in μB.
Fractional coordinates of all 3 atoms:
Cr  0.0000  0.0000  0.0000  0.27
Ni  0.6667  0.3333  0.6692  0.24
Ni  0.3333  0.6667  0.3308  0.24

Summary:
- energy of formation (meV per atom) = 75
- SG = P-3m1, No. 164
- volume (Å³ per atom) = 11.1

| no. | total magnetization (μB per formula unit) |
| --- | --- |
| 1 | 0.0 |
| 2 | 0.0 |
| 3 | 0.0 |
| 4 | 0.8 |